A plane-wave DFT calculation with PBE-GGA was carried out for a relaxed structure of KNbO2.

Properties
Formation energy without anion corrections ... -1629 meV per atom
Crystal system ... tetragonal
Final energy ... -6.900 eV per atom
Magnetization ... 0.0 μB/f.u.
Space group ... P4/mmm, No. 123
DOS at the Fermi energy ... 0.25 states/eV per atom

Lattice parameters (Å, degrees): 2.7868 2.7868 6.3984 90.00 90.00 90.00
Positions (direct):
Nb1 0.5000 0.5000 0.0000
O1 0.0000 0.0000 0.1918
K1 0.5000 0.5000 0.5000
O2 0.0000 0.0000 0.8082